# Nd3Sn5H12

Nd3Sn5H12 after structural relaxation (PBE, the Alexandria database).

DOS(E_F) = 30.465 states/eV per cell
Total DFT energy (no corrections) = -3.6583 eV/atom
Total magnetization = 0.00 μB per formula unit

Structure (POSCAR):
```
Nd3Sn5H12
1.0
-6.636 6.636 6.636
6.636 -6.636 6.636
6.636 6.636 -6.636
Nd Sn H
12 20 48
Cartesian
3.318 1.659 0.000
6.636 3.318 -1.659
1.659 0.000 3.318
8.295 0.000 3.318
0.000 3.318 1.659
3.318 -1.659 6.636
3.318 8.295 0.000
6.636 3.318 4.977
-1.659 6.636 3.318
4.977 6.636 3.318
0.000 3.318 8.295
3.318 4.977 6.636
0.000 0.000 0.000
3.318 3.318 -3.318
3.318 -3.318 3.318
6.636 0.000 0.000
9.954 1.659 0.000
6.636 -3.318 4.977
4.977 6.636 -3.318
4.977 0.000 3.318
3.318 4.977 0.000
6.636 3.318 1.659
-3.318 3.318 3.318
0.000 6.636 0.000
0.000 0.000 6.636
3.318 3.318 3.318
0.000 3.318 4.977
3.318 1.659 6.636
1.659 6.636 3.318
1.659 0.000 9.954
0.000 9.954 1.659
-3.318 4.977 6.636
6.645 -1.028 2.046
8.683 -0.009 1.028
7.908 -2.290 3.309
9.945 -1.272 2.290
2.046 0.009 1.028
7.908 4.346 -3.309
4.346 3.309 -1.272
5.608 2.046 -0.009
1.028 2.046 0.009
8.926 3.327 -1.272
0.009 1.028 2.046
3.309 -1.272 4.346
6.645 5.608 -2.046
3.309 1.272 2.290
2.290 3.309 1.272
7.664 4.590 -0.009
4.346 -3.309 7.908
5.608 -2.046 6.645
1.272 2.290 3.309
2.046 -0.009 5.608
2.046 6.645 -1.028
3.309 7.908 -2.290
6.645 1.028 4.590
7.908 2.290 3.327
-1.272 4.346 3.309
-0.009 5.608 2.046
3.327 -1.272 8.926
4.590 -0.009 7.664
4.590 6.645 1.028
5.364 4.346 3.327
1.028 8.683 -0.009
2.290 9.945 -1.272
-1.028 2.046 6.645
4.346 3.327 5.364
3.327 5.364 4.346
-0.009 1.028 8.683
3.327 7.908 2.290
6.627 5.608 4.590
-2.290 3.309 7.908
5.608 4.590 6.627
1.028 4.590 6.645
2.290 3.327 7.908
-1.272 2.290 9.945
4.590 6.627 5.608
-3.309 7.908 4.346
-1.272 8.926 3.327
-2.046 6.645 5.608
-0.009 7.664 4.590
```